Material: ZrCr2Cl
Method: DFT, GGA-PBE
State: optimized geometry

Cell lengths 4.4669, 3.0881, 4.7554 Å; angles 90.30, 90.00, 90.00 degrees
Last column: nearest neighbours and their distance in Å.
Element x y z (fractional)
Cr: 0.0000 0.7513 0.4550  1 Cr 1.95
Zr: 0.5000 0.2500 0.2500  4 Cl 2.83-2.84, 8 Cr 2.88-2.89, 2 Zr 3.09
Cr: 0.0000 0.7487 0.0450  1 Cr 1.95
Cl: 0.5000 0.7500 0.7500  4 Cr 2.64, 4 Zr 2.83-2.84

Values from the calculation:
- Excess energy over the best structure of this formula in the dataset: 426 meV per atom
- N(E_F): 4.143 states/eV per cell
- Energy relative to the elements, uncorrected: 1.2 eV/f.u.



Material: LiMgPb2
Method: DFT, GGA-PBE
State: optimized geometry

Cell lengths 5.9038, 5.9038, 5.9038 Å; angles 135.09, 135.09, 65.39 degrees
Last column: nearest neighbours and their distance in Å.
Element x y z (fractional)
Pb: 0.0000 0.0000 0.0000  4 Li 3.19, 4 Mg 3.36, 4 Pb 3.36
Li: 0.5000 0.5000 0.0000  8 Pb 3.19-3.36, 4 Mg 3.36
Mg: 0.7500 0.2500 0.5000  8 Pb 3.19-3.36, 4 Li 3.36
Pb: 0.2500 0.7500 0.5000  4 Mg 3.19, 4 Li 3.36, 4 Pb 3.36

Values from the calculation:
- N(E_F): 1.603 states/eV per cell
- Energy of formation: -0.134 eV per atom